Version 1
Density functional theory data (PBE) for crystalline TcHg3O at its relaxed geometry.

It has space group Pm-3m (No. 221), with a = 4.6514 Å, b = 4.6514 Å, c = 4.6514 Å, α = 90.00°, β = 90.00° and γ = 90.00°. The distinct sites, in fractional coordinates, are Tc at (0.0000, 0.0000, 0.0000), Hg at (0.0000, 0.5000, 0.5000) and O at (0.5000, 0.5000, 0.5000).

The value obtained for the volume is 100.6 Å³ per cell. For the mass density, the calculation gives 11.811 g/cm³.

Version 2
Density functional theory data (PBE) for crystalline TcHg3O at its relaxed geometry.

It has space group Pm-3m (No. 221), with a = 5.3934 Å, b = 5.3934 Å, c = 5.3934 Å, α = 90.00°, β = 90.00° and γ = 90.00°. The distinct sites, in fractional coordinates, are Tc at (0.0000, 0.0000, 0.0000), Hg at (0.0000, 0.0000, 0.5000) and O at (0.5000, 0.5000, 0.5000).

The value obtained for the volume is 156.9 Å³ per cell. For the mass density, the calculation gives 7.576 g/cm³.

Relative energy table, unit kJ/mol of atoms: version 1 0.0; version 2 12.7

Version 1
Density functional theory data (PBE) for crystalline Tc3HgO at its relaxed geometry.

It has space group Pm-3m (No. 221), with a = 4.1523 Å, b = 4.1523 Å, c = 4.1523 Å, α = 90.00°, β = 90.00° and γ = 90.00°. The distinct sites, in fractional coordinates, are Tc at (0.0000, 0.0000, 0.5000), Hg at (0.5000, 0.5000, 0.5000) and O at (0.0000, 0.0000, 0.0000).

The value obtained for the volume is 71.6 Å³ per cell. For the mass density, the calculation gives 11.843 g/cm³.

Version 2
Density functional theory data (PBE) for crystalline Tc3HgO at its relaxed geometry.

It has space group Pm-3m (No. 221), with a = 5.1886 Å, b = 5.1886 Å, c = 5.1886 Å, α = 90.00°, β = 90.00° and γ = 90.00°. The distinct sites, in fractional coordinates, are Tc at (0.0000, 0.0000, 0.5000), Hg at (0.0000, 0.0000, 0.0000) and O at (0.5000, 0.5000, 0.5000).

The value obtained for the volume is 139.7 Å³ per cell. For the mass density, the calculation gives 6.070 g/cm³.

Relative energy table, unit kJ/mol of atoms: version 1 0.0; version 2 251.7

Version 1
Density functional theory data (PBE) for crystalline Tc2HgO at its relaxed geometry.

It has space group Fm-3m (No. 225), with a = 6.1619 Å, b = 6.1619 Å, c = 6.1619 Å, α = 90.00°, β = 90.00° and γ = 90.00°. The distinct sites, in fractional coordinates, are Tc at (0.2500, 0.2500, 0.2500), Hg at (0.0000, 0.0000, 0.0000) and O at (0.0000, 0.0000, 0.5000).

The value obtained for the volume is 234.0 Å³ per cell. For the mass density, the calculation gives 11.714 g/cm³.

Version 2
Density functional theory data (PBE) for crystalline Tc2HgO at its relaxed geometry.

It has space group I-42d (No. 122), with a = 4.7394 Å, b = 4.7394 Å, c = 13.1193 Å, α = 90.00°, β = 90.00° and γ = 90.00°. The distinct sites, in fractional coordinates, are Tc at (0.0470, 0.2500, 0.1250), Hg at (0.0000, 0.0000, 0.5000) and O at (0.0000, 0.0000, 0.0000).

The value obtained for the volume is 294.7 Å³ per cell. For the mass density, the calculation gives 9.300 g/cm³.

Relative energy table, unit kJ/mol of atoms: version 1 60.7; version 2 0.0

Version 1
Density functional theory data (PBE) for crystalline HgTeO2 at its relaxed geometry.

It has space group R-3m (No. 166, hexagonal axes), with a = 3.4119 Å, b = 3.4119 Å, c = 23.6872 Å, α = 90.00°, β = 90.00° and γ = 120.00°. The distinct sites, in fractional coordinates, are Hg at (0.0000, 0.0000, 0.0000), Te at (0.0000, 0.0000, 0.5000) and O at (0.0000, 0.0000, 0.1216).

The value obtained for the volume is 238.8 Å³ per cell. For the mass density, the calculation gives 7.514 g/cm³.

Version 2
Density functional theory data (PBE) for crystalline HgTeO2 at its relaxed geometry.

It has space group R-3m (No. 166, hexagonal axes), with a = 3.4456 Å, b = 3.4456 Å, c = 20.2035 Å, α = 90.00°, β = 90.00° and γ = 120.00°. The distinct sites, in fractional coordinates, are Hg at (0.0000, 0.0000, 0.0000), Te at (0.0000, 0.0000, 0.5000) and O at (0.0000, 0.0000, 0.3982).

The value obtained for the volume is 207.7 Å³ per cell. For the mass density, the calculation gives 8.638 g/cm³.

Relative energy table, unit kJ/mol of atoms: version 1 0.0; version 2 8.1

Version 1
Density functional theory data (PBE) for crystalline HgTeO2 at its relaxed geometry.

It has space group I-42d (No. 122), with a = 6.6531 Å, b = 6.6531 Å, c = 9.4109 Å, α = 90.00°, β = 90.00° and γ = 90.00°. The distinct sites, in fractional coordinates, are Hg at (0.0000, 0.0000, 0.0000), Te at (0.0000, 0.0000, 0.5000) and O at (0.0016, 0.7500, 0.6250).

The value obtained for the volume is 416.6 Å³ per cell. For the mass density, the calculation gives 5.743 g/cm³.

Version 2
Density functional theory data (PBE) for crystalline HgTeO2 at its relaxed geometry.

It has space group Fm-3m (No. 225), with a = 6.1759 Å, b = 6.1759 Å, c = 6.1759 Å, α = 90.00°, β = 90.00° and γ = 90.00°. The distinct sites, in fractional coordinates, are Hg at (0.0000, 0.0000, 0.0000), Te at (0.0000, 0.0000, 0.5000) and O at (0.2500, 0.2500, 0.2500).

The value obtained for the volume is 235.6 Å³ per cell. For the mass density, the calculation gives 10.156 g/cm³.

Relative energy table, unit kJ/mol of atoms: version 1 0.0; version 2 69.8

Version 1
Density functional theory data (PBE) for crystalline Hg2TeO4 at its relaxed geometry.

It has space group I4/mmm (No. 139), with a = 4.1241 Å, b = 4.1241 Å, c = 12.5627 Å, α = 90.00°, β = 90.00° and γ = 90.00°. The distinct sites, in fractional coordinates, are Hg at (0.0000, 0.0000, 0.1578), Te at (0.0000, 0.0000, 0.5000), O at (0.0000, 0.0000, 0.3382) and O at (0.0000, 0.5000, 0.0000).

The value obtained for the volume is 213.7 Å³ per cell. For the mass density, the calculation gives 9.213 g/cm³.

Version 2
Density functional theory data (PBE) for crystalline Hg2TeO4 at its relaxed geometry.

It has space group Fmm2 (No. 42), with a = 7.0554 Å, b = 9.5839 Å, c = 6.9349 Å, α = 90.00°, β = 90.00° and γ = 90.00°. The distinct sites, in fractional coordinates, are Hg at (0.2500, 0.2500, 0.0000), Te at (0.0000, 0.0000, 0.2562), O at (0.0000, 0.2202, 0.2520) and O at (0.2063, 0.0000, 0.0773).

The value obtained for the volume is 468.9 Å³ per cell. For the mass density, the calculation gives 8.397 g/cm³.

Version 3
Density functional theory data (PBE) for crystalline Hg2TeO4 at its relaxed geometry.

It has space group C2/m (No. 12), with a = 12.9409 Å, b = 3.5130 Å, c = 5.4511 Å, α = 90.00°, β = 112.10° and γ = 90.00°. The distinct sites, in fractional coordinates, are Hg at (0.1896, 0.0000, 0.1953), Te at (0.0000, 0.5000, 0.5000), O at (0.0565, 0.0000, 0.3297) and O at (0.1517, 0.5000, 0.8380).

The value obtained for the volume is 229.6 Å³ per cell. For the mass density, the calculation gives 8.574 g/cm³.

Relative energy table, unit kJ/mol of atoms: version 1 18.8; version 2 0.0; version 3 3.4

Version 1
Density functional theory data (PBE) for crystalline HgTe2O at its relaxed geometry.

It has space group R-3m (No. 166, hexagonal axes), with a = 5.6501 Å, b = 5.6501 Å, c = 10.5351 Å, α = 90.00°, β = 90.00° and γ = 120.00°. The distinct sites, in fractional coordinates, are Hg at (0.0000, 0.0000, 0.0000), Te at (0.0000, 0.0000, 0.3079) and O at (0.0000, 0.0000, 0.5000).

The value obtained for the volume is 291.3 Å³ per cell. For the mass density, the calculation gives 8.069 g/cm³.

Version 2
Density functional theory data (PBE) for crystalline HgTe2O at its relaxed geometry.

It has space group I-42d (No. 122), with a = 5.7896 Å, b = 5.7896 Å, c = 13.0045 Å, α = 90.00°, β = 90.00° and γ = 90.00°. The distinct sites, in fractional coordinates, are Hg at (0.0000, 0.0000, 0.0000), Te at (0.1379, 0.2500, 0.6250) and O at (0.0000, 0.0000, 0.5000).

The value obtained for the volume is 435.9 Å³ per cell. For the mass density, the calculation gives 7.189 g/cm³.

Version 3
Density functional theory data (PBE) for crystalline HgTe2O at its relaxed geometry.

It has space group R-3m (No. 166, hexagonal axes), with a = 3.2562 Å, b = 3.2562 Å, c = 29.0796 Å, α = 90.00°, β = 90.00° and γ = 120.00°. The distinct sites, in fractional coordinates, are Hg at (0.0000, 0.0000, 0.0000), Te at (0.0000, 0.0000, 0.1052) and O at (0.0000, 0.0000, 0.5000).

The value obtained for the volume is 267.0 Å³ per cell. For the mass density, the calculation gives 8.802 g/cm³.

Version 4
Density functional theory data (PBE) for crystalline HgTe2O at its relaxed geometry.

It has space group Fm-3m (No. 225), with a = 6.9547 Å, b = 6.9547 Å, c = 6.9547 Å, α = 90.00°, β = 90.00° and γ = 90.00°. The distinct sites, in fractional coordinates, are Hg at (0.0000, 0.0000, 0.0000), Te at (0.2500, 0.2500, 0.2500) and O at (0.0000, 0.0000, 0.5000).

The value obtained for the volume is 336.4 Å³ per cell. For the mass density, the calculation gives 9.316 g/cm³.

Relative energy table, unit kJ/mol of atoms: version 1 9.0; version 2 0.0; version 3 21.0; version 4 48.9

Version 1
Density functional theory data (PBE) for crystalline Hg3TeO6 at its relaxed geometry.

It has space group Ia-3 (No. 206), with a = 13.8865 Å, b = 13.8865 Å, c = 13.8865 Å, α = 90.00°, β = 90.00° and γ = 90.00°. The distinct sites, in fractional coordinates, are Hg at (0.0471, 0.1251, 0.7003), Te at (0.0000, 0.0000, 0.0000), Te at (0.2500, 0.2500, 0.2500), O at (0.0018, 0.0037, 0.3579) and O at (0.1076, 0.2484, 0.2521).

The value obtained for the volume is 2677.8 Å³ per cell. For the mass density, the calculation gives 8.189 g/cm³.

Version 2
Density functional theory data (PBE) for crystalline Hg3TeO6 at its relaxed geometry.

It has space group R-3 (No. 148, hexagonal axes), with a = 9.8883 Å, b = 9.8883 Å, c = 11.5516 Å, α = 90.00°, β = 90.00° and γ = 120.00°. The distinct sites, in fractional coordinates, are Hg at (0.0562, 0.6102, 0.3595), Te at (0.0000, 0.0000, 0.0000), Te at (0.0000, 0.0000, 0.5000), O at (0.0850, 0.8958, 0.4031) and O at (0.0860, 0.1856, 0.8982).

The value obtained for the volume is 978.2 Å³ per cell. For the mass density, the calculation gives 8.407 g/cm³.

Relative energy table, unit kJ/mol of atoms: version 1 0.0; version 2 1.2

Version 1
Density functional theory data (PBE) for crystalline HgTe3O at its relaxed geometry.

It has space group Pm-3m (No. 221), with a = 5.5622 Å, b = 5.5622 Å, c = 5.5622 Å, α = 90.00°, β = 90.00° and γ = 90.00°. The distinct sites, in fractional coordinates, are Hg at (0.0000, 0.0000, 0.0000), Te at (0.0000, 0.0000, 0.5000) and O at (0.5000, 0.5000, 0.5000).

The value obtained for the volume is 172.1 Å³ per cell. For the mass density, the calculation gives 5.784 g/cm³.

Version 2
Density functional theory data (PBE) for crystalline HgTe3O at its relaxed geometry.

It has space group Pm-3m (No. 221), with a = 4.9081 Å, b = 4.9081 Å, c = 4.9081 Å, α = 90.00°, β = 90.00° and γ = 90.00°. The distinct sites, in fractional coordinates, are Hg at (0.0000, 0.0000, 0.0000), Te at (0.0000, 0.5000, 0.5000) and O at (0.5000, 0.5000, 0.5000).

The value obtained for the volume is 118.2 Å³ per cell. For the mass density, the calculation gives 8.418 g/cm³.

Relative energy table, unit kJ/mol of atoms: version 1 99.7; version 2 0.0

Version 1
Density functional theory data (PBE) for crystalline TlHgO at its relaxed geometry.

It has space group P-1 (No. 2), with a = 3.7897 Å, b = 5.5424 Å, c = 7.9300 Å, α = 84.80°, β = 76.75° and γ = 89.75°. The distinct sites, in fractional coordinates, are Tl at (0.1884, 0.2243, 0.1247), Hg at (0.4311, 0.3379, 0.6339) and O at (0.3284, 0.0644, 0.8362).

The value obtained for the volume is 161.4 Å³ per cell. For the mass density, the calculation gives 8.660 g/cm³.

Version 2
Density functional theory data (PBE) for crystalline TlHgO at its relaxed geometry.

It has space group Cmc2_1 (No. 36), with a = 3.7402 Å, b = 15.5934 Å, c = 4.5352 Å, α = 90.00°, β = 90.00° and γ = 90.00°. The distinct sites, in fractional coordinates, are Tl at (0.0000, 0.1710, 0.0000), Hg at (0.0000, 0.4415, 0.0892) and O at (0.0000, 0.3126, 0.8210).

The value obtained for the volume is 264.5 Å³ per cell. For the mass density, the calculation gives 10.571 g/cm³.

Relative energy table, unit kJ/mol of atoms: version 1 0.0; version 2 11.7